Record 1
Entry from OQMD: a relaxed structure of PmZrNO (PBE).

Summary:
Raw total energy, eV per formula unit: -34.581
Relative energy among the computed polymorphs, eV/atom: 0.044

Geometry as CIF:
```
data_PmZrNO
_symmetry_space_group_name_H-M 'P m m a'
_symmetry_Int_Tables_number 51
_cell_length_a 4.792
_cell_length_b 3.949
_cell_length_c 6.798
_cell_angle_alpha 90.00
_cell_angle_beta 90.00
_cell_angle_gamma 90.00
loop_
_symmetry_equiv_pos_as_xyz
'x,y,z'
'-x,-y,-z'
'-x+1/2,-y,z'
'x+1/2,y,-z'
'x+1/2,-y,-z'
'-x+1/2,y,z'
'-x,y,-z'
'x,-y,z'
loop_
_atom_site_label
_atom_site_type_symbol
_atom_site_fract_x
_atom_site_fract_y
_atom_site_fract_z
Pm1 Pm 0.250 0.000 0.159
Zr1 Zr 0.250 0.500 0.664
N1 N 0.250 0.500 0.358
O1 O 0.250 0.000 0.793
```

***

Record 2
Entry from OQMD: a relaxed structure of RbPrNO (PBE).

Summary:
Raw total energy, eV per formula unit: -23.129
Relative energy among the computed polymorphs, eV/atom: 0.081

Geometry as CIF:
```
data_RbPrNO
_symmetry_space_group_name_H-M 'C 1 m 1'
_symmetry_Int_Tables_number 8
_cell_length_a 6.450
_cell_length_b 6.454
_cell_length_c 9.484
_cell_angle_alpha 90.00
_cell_angle_beta 90.13
_cell_angle_gamma 90.00
loop_
_symmetry_equiv_pos_as_xyz
'x,y,z'
'x,-y,z'
'x+1/2,y+1/2,z'
'x+1/2,-y+1/2,z'
loop_
_atom_site_label
_atom_site_type_symbol
_atom_site_fract_x
_atom_site_fract_y
_atom_site_fract_z
Rb1 Rb 0.000 0.250 0.000
Pr1 Pr 0.268 0.000 0.408
Pr2 Pr 0.269 0.500 0.592
N1 N 0.253 0.000 0.168
N2 N 0.253 0.500 0.832
O1 O 0.021 0.250 0.500
```

***

Record 3
Entry from OQMD: a relaxed structure of RbPrNO (PBE).

Summary:
Raw total energy, eV per formula unit: -23.454
Relative energy among the computed polymorphs, eV/atom: 0.000

Geometry as CIF:
```
data_RbPrNO
_symmetry_space_group_name_H-M 'P c a 21'
_symmetry_Int_Tables_number 29
_cell_length_a 7.791
_cell_length_b 9.223
_cell_length_c 5.332
_cell_angle_alpha 90.00
_cell_angle_beta 90.00
_cell_angle_gamma 90.00
loop_
_symmetry_equiv_pos_as_xyz
'x,y,z'
'-x,-y,z+1/2'
'-x+1/2,y,z+1/2'
'x+1/2,-y,z'
loop_
_atom_site_label
_atom_site_type_symbol
_atom_site_fract_x
_atom_site_fract_y
_atom_site_fract_z
Rb1 Rb 0.102 0.111 0.000
Pr1 Pr 0.085 0.620 0.003
N1 N 0.107 0.588 0.505
O1 O 0.034 0.171 0.500
```

***

Record 4
Entry from OQMD: a relaxed structure of RbPrNO (PBE).

Summary:
Raw total energy, eV per formula unit: -23.079
Relative energy among the computed polymorphs, eV/atom: 0.094

Geometry as CIF:
```
data_RbPrNO
_symmetry_space_group_name_H-M 'P c a 21'
_symmetry_Int_Tables_number 29
_cell_length_a 7.125
_cell_length_b 8.932
_cell_length_c 6.426
_cell_angle_alpha 90.00
_cell_angle_beta 90.00
_cell_angle_gamma 90.00
loop_
_symmetry_equiv_pos_as_xyz
'x,y,z'
'-x,-y,z+1/2'
'-x+1/2,y,z+1/2'
'x+1/2,-y,z'
loop_
_atom_site_label
_atom_site_type_symbol
_atom_site_fract_x
_atom_site_fract_y
_atom_site_fract_z
Rb1 Rb 0.072 0.121 0.000
Pr1 Pr 0.094 0.609 0.948
N1 N 0.020 0.176 0.538
O1 O 0.111 0.568 0.593
```

***

Record 5
Entry from OQMD: a relaxed structure of RbPrNO (PBE).

Summary:
Raw total energy, eV per formula unit: -21.860
Relative energy among the computed polymorphs, eV/atom: 0.399

Geometry as CIF:
```
data_RbPrNO
_symmetry_space_group_name_H-M 'P 4/n m m'
_symmetry_Int_Tables_number 129
_cell_length_a 4.138
_cell_length_b 4.138
_cell_length_c 9.164
_cell_angle_alpha 90.00
_cell_angle_beta 90.00
_cell_angle_gamma 90.00
loop_
_symmetry_equiv_pos_as_xyz
'x,y,z'
'-x,-y,-z'
'-y+1/2,x,z'
'y+1/2,-x,-z'
'-x+1/2,-y+1/2,z'
'x+1/2,y+1/2,-z'
'y,-x+1/2,z'
'-y,x+1/2,-z'
'x+1/2,-y,-z'
'-x+1/2,y,z'
'-y,-x,-z'
'y,x,z'
'-x,y+1/2,-z'
'x,-y+1/2,z'
'y+1/2,x+1/2,-z'
'-y+1/2,-x+1/2,z'
loop_
_atom_site_label
_atom_site_type_symbol
_atom_site_fract_x
_atom_site_fract_y
_atom_site_fract_z
Rb1 Rb 0.250 0.750 0.000
Pr1 Pr 0.250 0.250 0.375
N1 N 0.250 0.250 0.789
O1 O 0.250 0.750 0.500
```

***

Record 6
Entry from OQMD: a relaxed structure of RbPrNO (PBE).

Summary:
Raw total energy, eV per formula unit: -22.514
Relative energy among the computed polymorphs, eV/atom: 0.235

Geometry as CIF:
```
data_RbPrNO
_symmetry_space_group_name_H-M 'P 4/n m m'
_symmetry_Int_Tables_number 129
_cell_length_a 5.510
_cell_length_b 5.510
_cell_length_c 4.835
_cell_angle_alpha 90.00
_cell_angle_beta 90.00
_cell_angle_gamma 90.00
loop_
_symmetry_equiv_pos_as_xyz
'x,y,z'
'-x,-y,-z'
'-y+1/2,x,z'
'y+1/2,-x,-z'
'-x+1/2,-y+1/2,z'
'x+1/2,y+1/2,-z'
'y,-x+1/2,z'
'-y,x+1/2,-z'
'x+1/2,-y,-z'
'-x+1/2,y,z'
'-y,-x,-z'
'y,x,z'
'-x,y+1/2,-z'
'x,-y+1/2,z'
'y+1/2,x+1/2,-z'
'-y+1/2,-x+1/2,z'
loop_
_atom_site_label
_atom_site_type_symbol
_atom_site_fract_x
_atom_site_fract_y
_atom_site_fract_z
Rb1 Rb 0.250 0.250 0.004
Pr1 Pr 0.250 0.750 0.500
N1 N 0.250 0.250 0.504
O1 O 0.250 0.750 0.000
```

***

Record 7
Entry from OQMD: a relaxed structure of RbPrNO (PBE).

Summary:
Raw total energy, eV per formula unit: -23.361
Relative energy among the computed polymorphs, eV/atom: 0.023

Geometry as CIF:
```
data_RbPrNO
_symmetry_space_group_name_H-M 'P m c 21'
_symmetry_Int_Tables_number 26
_cell_length_a 3.881
_cell_length_b 7.765
_cell_length_c 6.713
_cell_angle_alpha 90.00
_cell_angle_beta 90.00
_cell_angle_gamma 90.00
loop_
_symmetry_equiv_pos_as_xyz
'x,y,z'
'-x,-y,z+1/2'
'-x,y,z'
'x,-y,z+1/2'
loop_
_atom_site_label
_atom_site_type_symbol
_atom_site_fract_x
_atom_site_fract_y
_atom_site_fract_z
Rb1 Rb 0.000 0.155 0.000
Pr1 Pr 0.500 0.342 0.490
N1 N 0.500 0.387 0.839
O1 O 0.000 0.200 0.422
```

***

Record 8
Entry from OQMD: a relaxed structure of RbPrNO (PBE).

Summary:
Raw total energy, eV per formula unit: -22.504
Relative energy among the computed polymorphs, eV/atom: 0.238

Geometry as CIF:
```
data_RbPrNO
_symmetry_space_group_name_H-M 'C 1 m 1'
_symmetry_Int_Tables_number 8
_cell_length_a 7.785
_cell_length_b 7.766
_cell_length_c 4.817
_cell_angle_alpha 90.00
_cell_angle_beta 90.02
_cell_angle_gamma 90.00
loop_
_symmetry_equiv_pos_as_xyz
'x,y,z'
'x,-y,z'
'x+1/2,y+1/2,z'
'x+1/2,-y+1/2,z'
loop_
_atom_site_label
_atom_site_type_symbol
_atom_site_fract_x
_atom_site_fract_y
_atom_site_fract_z
Rb1 Rb 0.000 0.000 0.000
Rb2 Rb 0.001 0.500 0.999
Pr1 Pr 0.250 0.250 0.500
N1 N 0.000 0.500 0.499
N2 N 0.499 0.500 0.500
O1 O 0.251 0.249 0.001
```

***

Record 9
Entry from OQMD: a relaxed structure of RbPrNO (PBE).

Summary:
Raw total energy, eV per formula unit: -23.415
Relative energy among the computed polymorphs, eV/atom: 0.010

Geometry as CIF:
```
data_RbPrNO
_symmetry_space_group_name_H-M 'P m c 21'
_symmetry_Int_Tables_number 26
_cell_length_a 4.187
_cell_length_b 7.629
_cell_length_c 6.395
_cell_angle_alpha 90.00
_cell_angle_beta 90.00
_cell_angle_gamma 90.00
loop_
_symmetry_equiv_pos_as_xyz
'x,y,z'
'-x,-y,z+1/2'
'-x,y,z'
'x,-y,z+1/2'
loop_
_atom_site_label
_atom_site_type_symbol
_atom_site_fract_x
_atom_site_fract_y
_atom_site_fract_z
Rb1 Rb 0.000 0.173 0.000
Pr1 Pr 0.500 0.343 0.526
N1 N 0.000 0.206 0.467
O1 O 0.500 0.392 0.874
```

***

Record 10
Entry from OQMD: a relaxed structure of PrSbN2O (PBE).

Summary:
Raw total energy, eV per formula unit: -34.365

Geometry as CIF:
```
data_PrSbN2O
_symmetry_space_group_name_H-M 'P m m a'
_symmetry_Int_Tables_number 51
_cell_length_a 5.737
_cell_length_b 3.972
_cell_length_c 5.787
_cell_angle_alpha 90.00
_cell_angle_beta 90.00
_cell_angle_gamma 90.00
loop_
_symmetry_equiv_pos_as_xyz
'x,y,z'
'-x,-y,-z'
'-x+1/2,-y,z'
'x+1/2,y,-z'
'x+1/2,-y,-z'
'-x+1/2,y,z'
'-x,y,-z'
'x,-y,z'
loop_
_atom_site_label
_atom_site_type_symbol
_atom_site_fract_x
_atom_site_fract_y
_atom_site_fract_z
Pr1 Pr 0.250 0.000 0.240
Sb1 Sb 0.250 0.500 0.740
N1 N 0.000 0.500 0.500
N2 N 0.250 0.000 0.808
O1 O 0.000 0.500 0.000
```

***

Record 11
Entry from OQMD: a relaxed structure of PrSbN2O (PBE).

Summary:
Raw total energy, eV per formula unit: -34.985

Geometry as CIF:
```
data_PrSbN2O
_symmetry_space_group_name_H-M 'P -1'
_symmetry_Int_Tables_number 2
_cell_length_a 8.048
_cell_length_b 8.149
_cell_length_c 8.155
_cell_angle_alpha 89.98
_cell_angle_beta 89.98
_cell_angle_gamma 89.58
loop_
_symmetry_equiv_pos_as_xyz
'x,y,z'
'-x,-y,-z'
loop_
_atom_site_label
_atom_site_type_symbol
_atom_site_fract_x
_atom_site_fract_y
_atom_site_fract_z
Pr1 Pr 0.012 0.034 0.250
Pr2 Pr 0.030 0.515 0.251
Pr3 Pr 0.481 0.988 0.750
Pr4 Pr 0.484 0.476 0.748
Sb1 Sb 0.244 0.245 0.510
Sb2 Sb 0.248 0.259 0.992
Sb3 Sb 0.248 0.760 0.492
Sb4 Sb 0.251 0.745 0.007
N1 N 0.002 0.706 0.552
N2 N 0.002 0.719 0.944
N3 N 0.198 0.795 0.248
N4 N 0.215 0.001 0.555
N5 N 0.216 0.315 0.750
N6 N 0.294 0.500 0.050
N7 N 0.499 0.202 0.960
N8 N 0.499 0.224 0.546
O1 O 0.215 0.001 0.950
O2 O 0.281 0.199 0.251
O3 O 0.285 0.500 0.452
O4 O 0.306 0.721 0.748
```

***

Record 12
Entry from OQMD: a relaxed structure of PrSbNO (PBE).

Summary:
Raw total energy, eV per formula unit: -27.126
Relative energy among the computed polymorphs, eV/atom: 0.100

Geometry as CIF:
```
data_PrSbNO
_symmetry_space_group_name_H-M 'P m c 21'
_symmetry_Int_Tables_number 26
_cell_length_a 3.400
_cell_length_b 6.754
_cell_length_c 6.415
_cell_angle_alpha 90.00
_cell_angle_beta 90.00
_cell_angle_gamma 90.00
loop_
_symmetry_equiv_pos_as_xyz
'x,y,z'
'-x,-y,z+1/2'
'-x,y,z'
'x,-y,z+1/2'
loop_
_atom_site_label
_atom_site_type_symbol
_atom_site_fract_x
_atom_site_fract_y
_atom_site_fract_z
Pr1 Pr 0.000 0.067 0.000
Sb1 Sb 0.500 0.461 0.331
N1 N 0.000 0.277 0.340
O1 O 0.500 0.055 0.731
```